The following is a DFT calculation (PBE) of LiAl11 after structural relaxation.

The structure in extended XYZ format:
```
12
Lattice="-0.3063 -0.8564 2.6304 -6.8086 -5.6908 -2.6454 8.7670 -2.9795 0.0508" Properties=species:S:1:pos:R:3 pbc="T T T"
Al -3.4043 -2.8454 -1.3227
Al 0.9792 -4.3351 -1.2973
Al 2.6535 -6.5868 -0.3630
Al -0.0706 -7.0609 -0.8346
Al -1.0014 -2.9398 0.3987
Li 0.0000 0.0000 0.0000
Al -4.2377 -5.6448 -0.8587
Al 5.8898 -3.8818 0.8944
Al 4.3835 -1.4897 0.0254
Al -1.6168 -4.7870 -1.7467
Al 3.5751 -3.8832 -0.8480
Al 1.7227 -2.4656 0.8703
```

Results
ΔH_f (0 K): 4 kJ per mole of atoms
Magnetic moment: 0.000 μB/atom
Calculated volume: 206.7 Å³/cell